# 1
This record from Alexandria via LeMat-Bulk describes SrBe at its PBEsol-relaxed geometry. The functional is SCAN.

crystal system = orthorhombic
formation energy = 0.299 eV per atom
symmetry = No. 63
raw total energy = -104.120 eV for the cell shown

abc: 5.297 9.153 4.236
angles: 90.00 90.00 90.00
Fractional positions:
Sr (0.000, 0.167, 0.250)
Sr (0.000, 0.833, 0.750)
Sr (0.500, 0.333, 0.750)
Sr (0.500, 0.667, 0.250)
Be (0.000, 0.499, 0.750)
Be (0.000, 0.501, 0.250)
Be (0.500, 0.001, 0.250)
Be (0.500, 0.999, 0.750)

# 2
This record from Alexandria via LeMat-Bulk describes Sr2Be at its PBEsol-relaxed geometry. The functional is SCAN.

crystal system = orthorhombic
formation energy = 0.402 eV per atom
symmetry = No. 36
raw total energy = -190.789 eV for the cell shown

abc: 3.938 14.307 7.484
angles: 90.00 90.00 90.00
Fractional positions:
Sr (0.000, 0.022, 0.000)
Sr (0.000, 0.278, 0.162)
Sr (0.000, 0.722, 0.662)
Sr (0.000, 0.978, 0.500)
Sr (0.500, 0.222, 0.662)
Sr (0.500, 0.478, 0.500)
Sr (0.500, 0.522, 0.000)
Sr (0.500, 0.778, 0.162)
Be (0.000, 0.386, 0.783)
Be (0.000, 0.614, 0.283)
Be (0.500, 0.114, 0.283)
Be (0.500, 0.886, 0.783)

# 3
This record from Alexandria via LeMat-Bulk describes SrTa2Be at its PBEsol-relaxed geometry. The functional is SCAN.

crystal system = monoclinic
formation energy = 0.721 eV per atom
symmetry = No. 8
raw total energy = -313.822 eV for the cell shown

abc: 9.591 2.955 6.193
angles: 90.00 100.15 90.00
Fractional positions:
Sr (0.000, 0.000, 0.000)
Sr (0.500, 0.500, 0.000)
Ta (0.201, 0.000, 0.591)
Ta (0.455, 0.000, 0.501)
Ta (0.701, 0.500, 0.591)
Ta (0.955, 0.500, 0.501)
Be (0.264, 0.500, 0.286)
Be (0.764, 0.000, 0.286)

# 4
This record from Alexandria via LeMat-Bulk describes Sr2TaBe at its PBEsol-relaxed geometry. The functional is SCAN.

crystal system = tetragonal
formation energy = 1.236 eV per atom
symmetry = No. 123
raw total energy = -110.544 eV for the cell shown

abc: 4.426 4.426 4.904
angles: 90.00 90.00 90.00
Fractional positions:
Sr (0.000, 0.500, 0.000)
Sr (0.500, 0.000, 0.000)
Ta (0.000, 0.000, 0.500)
Be (0.500, 0.500, 0.500)

# 5
This record from Alexandria via LeMat-Bulk describes SrTa2Be at its PBEsol-relaxed geometry. The functional is SCAN.

crystal system = orthorhombic
formation energy = 0.685 eV per atom
symmetry = No. 71
raw total energy = -314.114 eV for the cell shown

abc: 2.872 4.946 10.762
angles: 90.00 90.00 90.00
Fractional positions:
Sr (0.000, 0.000, 0.000)
Sr (0.500, 0.500, 0.500)
Ta (0.000, 0.500, 0.210)
Ta (0.000, 0.500, 0.790)
Ta (0.500, 0.000, 0.290)
Ta (0.500, 0.000, 0.710)
Be (0.000, 0.000, 0.500)
Be (0.500, 0.500, 0.000)

# 6
This record from Alexandria via LeMat-Bulk describes SrTa2Be at its PBEsol-relaxed geometry. The functional is SCAN.

crystal system = orthorhombic
formation energy = 1.075 eV per atom
symmetry = No. 44
raw total energy = -310.992 eV for the cell shown

abc: 3.019 5.422 9.845
angles: 90.00 90.00 90.00
Fractional positions:
Sr (0.000, 0.000, 0.000)
Sr (0.500, 0.500, 0.500)
Ta (0.000, 0.000, 0.473)
Ta (0.000, 0.500, 0.202)
Ta (0.500, 0.000, 0.702)
Ta (0.500, 0.500, 0.973)
Be (0.000, 0.500, 0.766)
Be (0.500, 0.000, 0.266)

# 7
This record from Alexandria via LeMat-Bulk describes SrBeTc4 at its PBEsol-relaxed geometry. The functional is SCAN.

crystal system = cubic
formation energy = 0.692 eV per atom
symmetry = No. 216
raw total energy = -162.718 eV for the cell shown

abc: 5.212 5.212 5.212
angles: 60.00 60.00 60.00
Fractional positions:
Sr (0.000, 0.000, 0.000)
Be (0.250, 0.250, 0.250)
Tc (0.128, 0.624, 0.624)
Tc (0.624, 0.128, 0.624)
Tc (0.624, 0.624, 0.128)
Tc (0.624, 0.624, 0.624)

# 8
This record from Alexandria via LeMat-Bulk describes Sr2BeTc at its PBEsol-relaxed geometry. The functional is SCAN.

crystal system = orthorhombic
formation energy = 0.494 eV per atom
symmetry = No. 38
raw total energy = -163.979 eV for the cell shown

abc: 4.024 4.560 11.173
angles: 90.00 90.00 90.00
Fractional positions:
Sr (0.000, 0.000, 0.000)
Sr (0.000, 0.500, 0.500)
Sr (0.500, 0.000, 0.282)
Sr (0.500, 0.500, 0.782)
Be (0.500, 0.000, 0.598)
Be (0.500, 0.500, 0.098)
Tc (0.000, 0.000, 0.684)
Tc (0.000, 0.500, 0.184)

# 9
This record from Alexandria via LeMat-Bulk describes SrBeTc2Te at its PBEsol-relaxed geometry. The functional is SCAN.

crystal system = tetragonal
symmetry = No. 123
raw total energy = -126.255 eV for the cell shown

abc: 4.854 4.854 5.775
angles: 90.00 90.00 90.00
Fractional positions:
Sr (0.000, 0.000, 0.000)
Be (0.500, 0.500, 0.000)
Tc (0.000, 0.500, 0.500)
Tc (0.500, 0.000, 0.500)
Te (0.000, 0.000, 0.500)

# 10
This record from Alexandria via LeMat-Bulk describes SrBeTe2 at its PBEsol-relaxed geometry. The functional is SCAN.

crystal system = monoclinic
symmetry = No. 8
raw total energy = -210.083 eV for the cell shown

abc: 12.719 4.104 4.807
angles: 90.00 93.87 90.00
Fractional positions:
Sr (0.000, 0.000, 0.000)
Sr (0.500, 0.500, 0.000)
Be (0.220, 0.500, 0.773)
Be (0.720, 0.000, 0.773)
Te (0.061, 0.500, 0.510)
Te (0.285, 0.000, 0.983)
Te (0.561, 0.000, 0.510)
Te (0.785, 0.500, 0.983)

# 11
This record from Alexandria via LeMat-Bulk describes Sr2BeTe at its PBEsol-relaxed geometry. The functional is SCAN.

crystal system = trigonal
symmetry = No. 166
energy above the most stable polymorph in this dataset = 27.5 meV per atom
raw total energy = -264.397 eV for the cell shown

abc: 4.492 4.492 23.412
angles: 90.00 90.00 120.00
Fractional positions:
Sr (0.000, 0.000, 0.249)
Sr (0.000, 0.000, 0.751)
Sr (0.333, 0.667, 0.418)
Sr (0.333, 0.667, 0.916)
Sr (0.667, 0.333, 0.084)
Sr (0.667, 0.333, 0.582)
Be (0.000, 0.000, 0.500)
Be (0.333, 0.667, 0.167)
Be (0.667, 0.333, 0.833)
Te (0.000, 0.000, 0.000)
Te (0.333, 0.667, 0.667)
Te (0.667, 0.333, 0.333)

# 12
This record from Alexandria via LeMat-Bulk describes Sr2BeTe at its PBEsol-relaxed geometry. The functional is SCAN.

crystal system = tetragonal
symmetry = No. 123
energy above the most stable polymorph in this dataset = 0.0 meV per atom
raw total energy = -88.242 eV for the cell shown

abc: 3.978 3.978 7.423
angles: 90.00 90.00 90.00
Fractional positions:
Sr (0.000, 0.000, 0.242)
Sr (0.000, 0.000, 0.758)
Be (0.500, 0.500, 0.000)
Te (0.500, 0.500, 0.500)

- Among the records above, which one has the lowest raw total energy?
  number 5

Please write out number 10 again, unchanged.
This record from Alexandria via LeMat-Bulk describes SrBeTe2 at its PBEsol-relaxed geometry. The functional is SCAN.

crystal system = monoclinic
symmetry = No. 8
raw total energy = -210.083 eV for the cell shown

abc: 12.719 4.104 4.807
angles: 90.00 93.87 90.00
Fractional positions:
Sr (0.000, 0.000, 0.000)
Sr (0.500, 0.500, 0.000)
Be (0.220, 0.500, 0.773)
Be (0.720, 0.000, 0.773)
Te (0.061, 0.500, 0.510)
Te (0.285, 0.000, 0.983)
Te (0.561, 0.000, 0.510)
Te (0.785, 0.500, 0.983)

- raw total energy of number 5 (SrTa2Be)?
  -314.114 eV for the cell shown

- What is the raw total energy in the sixth record?
  -310.992 eV for the cell shown